Below is a relaxed Dy2CuSi crystal, with properties calculated at the PBE-GGA level.

Computed properties:
E_tot	-5.115	eV/atom

abc: 4.052 5.693 7.572
angles: 90.00 90.00 90.00
Element x y z (fractional)
Cu1 0.000 0.371 0.035
Cu2 0.000 0.629 0.535
Dy1 0.000 0.879 0.178
Dy2 0.500 0.375 0.322
Dy3 0.000 0.121 0.678
Dy4 0.500 0.625 0.822
Si1 0.500 0.875 0.465
Si2 0.500 0.125 0.965


Below is a relaxed Li8Cu crystal, with properties calculated at the PBE-GGA level.

Computed properties:
E_tot	-2.095	eV/atom

abc: 5.260 6.345 9.631
angles: 80.69 77.52 72.27
Element x y z (fractional)
Cu1 0.699 0.569 0.453
Cu2 0.301 0.431 0.547
Li1 0.500 0.238 0.014
Li2 0.042 0.594 0.112
Li3 0.029 0.080 0.128
Li4 0.587 0.444 0.237
Li5 0.568 0.897 0.248
Li6 0.145 0.275 0.350
Li7 0.102 0.737 0.357
Li8 0.697 0.111 0.450
Li9 0.303 0.889 0.550
Li10 0.898 0.263 0.643
Li11 0.855 0.725 0.650
Li12 0.432 0.103 0.752
Li13 0.413 0.556 0.763
Li14 0.971 0.920 0.872
Li15 0.958 0.406 0.888
Li16 0.500 0.762 0.986


Below is a relaxed CdMoAs crystal, with properties calculated at the PBE-GGA level.

Computed properties:
E_tot	-4.307	eV/atom

abc: 4.597 4.597 4.597
angles: 60.00 60.00 60.00
Element x y z (fractional)
As1 0.250 0.250 0.250
Cd1 0.000 0.000 0.000
Mo1 0.750 0.750 0.750


Below is a relaxed Hf3Al4C6 crystal, with properties calculated at the PBE-GGA level.

Computed properties:
E_tot	-8.190	eV/atom

abc: 3.319 3.319 48.951
angles: 90.00 90.00 120.00
Element x y z (fractional)
Al1 0.667 0.333 0.101
Al2 0.000 0.000 0.148
Al3 0.667 0.333 0.186
Al4 0.000 0.000 0.232
Al5 0.333 0.667 0.435
Al6 0.667 0.333 0.481
Al7 0.333 0.667 0.519
Al8 0.667 0.333 0.565
Al9 0.000 0.000 0.768
Al10 0.333 0.667 0.814
Al11 0.000 0.000 0.852
Al12 0.333 0.667 0.899
C1 0.667 0.333 0.027
C2 0.000 0.000 0.083
C3 0.667 0.333 0.141
C4 0.000 0.000 0.192
C5 0.667 0.333 0.251
C6 0.000 0.000 0.306
C7 0.333 0.667 0.361
C8 0.667 0.333 0.416
C9 0.333 0.667 0.474
C10 0.667 0.333 0.526
C11 0.333 0.667 0.584
C12 0.667 0.333 0.639
C13 0.000 0.000 0.694
C14 0.333 0.667 0.749
C15 0.000 0.000 0.808
C16 0.333 0.667 0.859
C17 0.000 0.000 0.917
C18 0.333 0.667 0.973
Hf1 0.000 0.000 0.000
Hf2 0.333 0.667 0.054
Hf3 0.333 0.667 0.279
Hf4 0.667 0.333 0.333
Hf5 0.000 0.000 0.388
Hf6 0.000 0.000 0.612
Hf7 0.333 0.667 0.667
Hf8 0.667 0.333 0.721
Hf9 0.667 0.333 0.946


Below is a relaxed Li2ZrTc crystal, with properties calculated at the PBE-GGA level.

Computed properties:
E_tot	-5.380	eV/atom

abc: 4.494 4.494 4.494
angles: 60.00 60.00 60.00
Element x y z (fractional)
Li1 0.000 0.000 0.000
Li2 0.250 0.250 0.250
Tc1 0.750 0.750 0.750
Zr1 0.500 0.500 0.500


Below is a relaxed GdYCu2Ge4 crystal, with properties calculated at the PBE-GGA level.

Computed properties:
E_tot	-5.159	eV/atom

abc: 4.229 8.834 8.834
angles: 27.12 90.00 90.00
Element x y z (fractional)
Cu1 0.500 0.327 0.327
Cu2 0.000 0.673 0.673
Gd1 0.000 0.896 0.896
Ge1 0.000 0.250 0.250
Ge2 0.500 0.463 0.463
Ge3 0.000 0.538 0.538
Ge4 0.500 0.749 0.749
Y1 0.500 0.104 0.104


Below is a relaxed TaHgO3 crystal, with properties calculated at the PBE-GGA level.

Computed properties:
E_tot	-7.059	eV/atom

abc: 5.517 6.317 9.480
angles: 90.00 90.00 90.00
Element x y z (fractional)
Hg1 0.500 0.000 0.000
Hg2 0.000 0.500 0.000
Hg3 0.500 0.000 0.500
Hg4 0.000 0.500 0.500
O1 0.628 0.364 0.100
O2 0.872 0.864 0.100
O3 0.177 0.214 0.250
O4 0.323 0.714 0.250
O5 0.628 0.364 0.400
O6 0.872 0.864 0.400
O7 0.128 0.136 0.600
O8 0.372 0.636 0.600
O9 0.677 0.286 0.750
O10 0.823 0.786 0.750
O11 0.128 0.136 0.900
O12 0.372 0.636 0.900
Ta1 0.433 0.420 0.250
Ta2 0.067 0.920 0.250
Ta3 0.933 0.080 0.750
Ta4 0.567 0.580 0.750


Below is a relaxed Tm3Lu3FeSb2 crystal, with properties calculated at the PBE-GGA level.

Computed properties:
E_tot	-5.410	eV/atom
offset from the most stable computed form	0	kJ/mol of formula units

abc: 8.041 8.041 4.083
angles: 90.00 90.00 120.00
Last column: magnetic moment on the atom in μB.
Element x y z (fractional)
Fe1 0.000 0.000 0.000  -1.19
Lu1 0.766 0.000 0.500  0.12
Lu2 0.234 0.234 0.500  0.13
Lu3 0.000 0.766 0.500  0.11
Sb1 0.667 0.333 0.500  0.00
Sb2 0.333 0.667 0.500  0.00
Tm1 0.391 0.000 0.000  0.03
Tm2 0.000 0.391 0.000  0.01
Tm3 0.609 0.609 0.000  0.04


Below is a relaxed Sm5Tl3 crystal, with properties calculated at the PBE-GGA level.

Computed properties:
E_tot	-4.149	eV/atom

abc: 9.316 9.316 9.316
angles: 96.30 96.30 141.31
Last column: magnetic moment on the atom in μB.
Element x y z (fractional)
Sm1 0.916 0.219 0.135  0.01
Sm2 0.719 0.416 0.135  0.01
Sm3 0.584 0.719 0.304  0.01
Sm4 0.219 0.084 0.304  0.01
Sm5 0.750 0.250 0.500  0.10
Sm6 0.250 0.750 0.500  0.10
Sm7 0.416 0.281 0.696  0.01
Sm8 0.781 0.916 0.696  0.01
Sm9 0.084 0.781 0.865  0.01
Sm10 0.281 0.584 0.865  0.01
Tl1 0.250 0.250 0.000  0.00
Tl2 0.750 0.750 0.000  0.00
Tl3 0.339 0.839 0.177  0.00
Tl4 0.161 0.339 0.500  0.00
Tl5 0.839 0.661 0.500  0.00
Tl6 0.661 0.161 0.823  0.00


Below is a relaxed Pr2NdZn3Pd2Au crystal, with properties calculated at the PBE-GGA level.

Computed properties:
E_form	-0.665	eV/atom
E_tot	-4.190	eV/atom

abc: 4.012 7.530 7.530
angles: 120.03 90.00 90.00
Element x y z (fractional)
Au1 0.000 0.001 0.001
Nd1 0.000 0.410 0.410
Pd1 0.500 0.665 0.334
Pd2 0.500 0.334 0.665
Pr1 0.000 0.590 0.000
Pr2 0.000 0.000 0.590
Zn1 0.500 0.253 0.001
Zn2 0.500 0.001 0.253
Zn3 0.500 0.747 0.747


Below is a relaxed TmSnTe3Au crystal, with properties calculated at the PBE-GGA level.

Computed properties:
E_tot	-4.136	eV/atom
offset from the most stable computed form	17	kJ/mol of formula units

abc: 10.046 10.046 8.787
angles: 100.46 100.46 24.36
Element x y z (fractional)
Au1 0.554 0.554 0.213
Au2 0.446 0.446 0.787
Sn1 0.876 0.876 0.424
Sn2 0.124 0.124 0.576
Te1 0.000 0.000 0.000
Te2 0.322 0.322 0.147
Te3 0.690 0.690 0.350
Te4 0.500 0.500 0.500
Te5 0.310 0.310 0.650
Te6 0.678 0.678 0.853
Tm1 0.160 0.160 0.093
Tm2 0.840 0.840 0.907


Below is a relaxed Hf2Al2NiAu3 crystal, with properties calculated at the PBE-GGA level.

Computed properties:
E_tot	-5.882	eV/atom

abc: 4.364 4.364 8.498
angles: 90.00 90.00 120.00
Element x y z (fractional)
Al1 0.667 0.333 0.502
Al2 0.667 0.333 0.972
Au1 0.333 0.667 0.080
Au2 0.333 0.667 0.409
Au3 0.000 0.000 0.608
Hf1 0.000 0.000 0.244
Hf2 0.333 0.667 0.759
Ni1 0.000 0.000 0.926


Below is a relaxed Li2Sc2SiGePt2 crystal, with properties calculated at the PBE-GGA level.

Computed properties:
E_tot	-5.734	eV/atom

abc: 4.415 4.415 6.248
angles: 90.00 90.00 90.00
Element x y z (fractional)
Ge1 0.000 0.000 0.500
Li1 0.000 0.500 0.248
Li2 0.500 0.000 0.752
Pt1 0.500 0.000 0.240
Pt2 0.000 0.500 0.760
Sc1 0.000 0.000 0.000
Sc2 0.500 0.500 0.500
Si1 0.500 0.500 0.000


Below is a relaxed LiYTlFe crystal, with properties calculated at the PBE-GGA level.

Computed properties:
E_tot	-4.633	eV/atom
offset from the most stable computed form	27	kJ/mol of formula units

abc: 4.863 4.863 4.863
angles: 60.00 60.00 60.00
Element x y z (fractional)
Fe1 0.750 0.750 0.750
Li1 0.500 0.500 0.500
Tl1 0.000 0.000 0.000
Y1 0.250 0.250 0.250


Below is a relaxed Tl2PdICl3 crystal, with properties calculated at the PBE-GGA level.

Computed properties:
E_tot	-3.160	eV/atom

abc: 4.343 7.379 7.379
angles: 93.62 90.00 90.00
Element x y z (fractional)
Cl1 0.000 0.780 0.213
Cl2 0.000 0.762 0.762
Cl3 0.000 0.213 0.780
I1 0.000 0.254 0.254
Pd1 0.000 0.997 0.997
Tl1 0.500 0.979 0.516
Tl2 0.500 0.516 0.979


Below is a relaxed CuNiBiOs crystal, with properties calculated at the PBE-GGA level.

Computed properties:
E_tot	-5.406	eV/atom
offset from the most stable computed form	43	kJ/mol of formula units

abc: 4.458 4.458 4.458
angles: 60.00 60.00 60.00
Element x y z (fractional)
Bi1 0.000 0.000 0.000
Cu1 0.750 0.750 0.750
Ni1 0.250 0.250 0.250
Os1 0.500 0.500 0.500


Below is a relaxed H2Pd crystal, with properties calculated at the PBE-GGA level.

Computed properties:
E_tot	-3.967	eV/atom

abc: 4.109 4.109 2.848
angles: 90.00 90.00 90.00
Element x y z (fractional)
H1 0.311 0.311 0.000
H2 0.689 0.689 0.000
H3 0.811 0.189 0.500
H4 0.189 0.811 0.500
Pd1 0.000 0.000 0.000
Pd2 0.500 0.500 0.500


Below is a relaxed SnMoIr2 crystal, with properties calculated at the PBE-GGA level.

Computed properties:
E_tot	-7.960	eV/atom

abc: 4.517 4.517 4.517
angles: 60.00 60.00 60.00
Element x y z (fractional)
Ir1 0.000 0.000 0.000
Ir2 0.750 0.750 0.750
Mo1 0.250 0.250 0.250
Sn1 0.500 0.500 0.500


Below is a relaxed DyHoCd2Au4 crystal, with properties calculated at the PBE-GGA level.

Computed properties:
E_form	-0.680	eV/atom
E_tot	-3.685	eV/atom

abc: 4.923 4.923 6.962
angles: 90.00 90.00 90.00
Element x y z (fractional)
Au1 0.500 0.000 0.250
Au2 0.000 0.500 0.250
Au3 0.500 0.000 0.750
Au4 0.000 0.500 0.750
Cd1 0.500 0.500 0.000
Cd2 0.000 0.000 0.500
Dy1 0.000 0.000 0.000
Ho1 0.500 0.500 0.500


Below is a relaxed LiLu2W crystal, with properties calculated at the PBE-GGA level.

Computed properties:
E_tot	-5.336	eV/atom

abc: 4.863 4.863 4.863
angles: 60.00 60.00 60.00
Element x y z (fractional)
Li1 0.500 0.500 0.500
Lu1 0.000 0.000 0.000
Lu2 0.750 0.750 0.750
W1 0.250 0.250 0.250


Below is a relaxed LaAg6F2 crystal, with properties calculated at the PBE-GGA level.

Computed properties:
E_tot	-3.058	eV/atom

abc: 7.992 7.992 3.040
angles: 90.00 90.00 120.00
Last column: magnetic moment on the atom in μB.
Element x y z (fractional)
Ag1 0.337 0.000 0.000  0.00
Ag2 0.000 0.337 0.000  0.00
Ag3 0.663 0.663 0.000  0.00
Ag4 0.634 0.000 0.500  0.00
Ag5 0.366 0.366 0.500  0.00
Ag6 0.000 0.634 0.500  0.00
F1 0.667 0.333 0.000  0.00
F2 0.333 0.667 0.000  0.00
La1 0.000 0.000 0.500  0.13


Below is a relaxed Pt2W crystal, with properties calculated at the PBE-GGA level.

Computed properties:
E_form	2.342	eV/atom
E_tot	-6.015	eV/atom
offset from the most stable computed form	777	kJ/mol of formula units

abc: 7.787 7.787 7.787
angles: 60.00 60.00 60.00
Element x y z (fractional)
Pt1 0.875 0.375 0.375
Pt2 0.375 0.875 0.375
Pt3 0.375 0.375 0.375
Pt4 0.375 0.375 0.875
W1 0.250 0.250 0.250
W2 0.500 0.500 0.500